ZnSiP2 | PBE | relaxed

a = 4.2927 Å, b = 4.2927 Å, c = 4.2927 Å
α = 112.99°, β = 112.99°, γ = 102.63°
With the nearest neighbours (Å) after each atom.
Positions (direct):
Zn (0.0000, 0.0000, 0.0000)  2 Si 2.68, 8 P 2.72
Si (0.5000, 0.5000, 0.0000)  2 Zn 2.68, 8 P 2.72
P (0.2500, 0.7500, 0.5000)  2 P 2.68, 4 Zn 2.72, 4 Si 2.72
P (0.7500, 0.2500, 0.5000)  2 P 2.68, 4 Zn 2.72, 4 Si 2.72

Total magnetization (μB/f.u.): 0.000
Density of states at the Fermi level (states/eV/f.u.): 1.85
Space group: I4/mmm (139)
Relative energy among the computed polymorphs (eV per formula unit): 3.17
E_form (uncorrected) (eV/atom): 0.48

Hf2ZnCr | PBE | relaxed

a = 9.9115 Å, b = 9.9115 Å, c = 9.9115 Å
α = 156.72°, β = 156.72°, γ = 33.16°
With the nearest neighbours (Å) after each atom.
Positions (direct):
Hf (0.1174, 0.6250, 0.9924)  2 Cr 2.75, 2 Zn 2.78, 4 Hf 2.79-2.87
Hf (0.3750, 0.3674, 0.4924)  2 Cr 2.75, 2 Zn 2.78, 4 Hf 2.79-2.87
Hf (0.6326, 0.1250, 0.0076)  2 Cr 2.75, 2 Zn 2.78, 4 Hf 2.79-2.87
Hf (0.8750, 0.8826, 0.5076)  2 Cr 2.75, 2 Zn 2.78, 4 Hf 2.79-2.87
Zn (0.2500, 0.7500, 0.5000)  4 Hf 2.78, 4 Cr 2.83
Zn (0.5000, 0.5000, 0.0000)  4 Hf 2.78, 4 Cr 2.83
Cr (0.0000, 0.0000, 0.0000)  4 Hf 2.75, 4 Zn 2.83
Cr (0.7500, 0.2500, 0.5000)  4 Hf 2.75, 4 Zn 2.83

Total magnetization (μB/f.u.): 0.001
Density of states at the Fermi level (states/eV/f.u.): 4.24
Space group: I-42d (122)
DFT formation energy (eV per formula unit): 3.0

NaBi2Au | PBE | relaxed

a = 4.7803 Å, b = 4.7803 Å, c = 4.5024 Å
α = 90.00°, β = 90.00°, γ = 90.00°
With the nearest neighbours (Å) after each atom.
Positions (direct):
Na (0.0000, 0.0000, 0.0000)  8 Bi 3.28, 4 Au 3.38
Bi (0.0000, 0.5000, 0.5000)  4 Na 3.28, 4 Au 3.28, 4 Bi 3.38
Bi (0.5000, 0.0000, 0.5000)  4 Na 3.28, 4 Au 3.28, 4 Bi 3.38
Au (0.5000, 0.5000, 0.0000)  8 Bi 3.28, 4 Na 3.38

Total magnetization (μB/f.u.): 0.000
Density of states at the Fermi level (states/eV/f.u.): 1.04
Space group: P4/mmm (123)
DFT formation energy (eV per formula unit): -0.6
Relative energy among the computed polymorphs (eV per formula unit): 0.11